This record from Alexandria via LeMat-Bulk describes an optimized crystal structure of KIr3. The functional is PBE.

The structure in POSCAR format:
```
KIr3
1.0
-2.0601 2.0601 7.9596
2.0601 -2.0601 7.9596
2.0601 2.0601 -7.9596
Ir K
6 2
Cartesian
0.0000 2.0601 0.0000
0.0000 0.0000 1.9325
0.0000 0.0000 13.9868
2.0601 0.0000 3.9798
0.0000 2.0601 3.9798
2.0601 0.0000 0.0000
0.0000 0.0000 9.9704
0.0000 0.0000 5.9489
```

Values from the calculation:
- calculated formation energy (eV/atom) = 1.24

This record from Alexandria via LeMat-Bulk describes an optimized crystal structure of BeInAs3. The functional is PBE.

The structure in POSCAR format:
```
BeInAs3
1.0
-4.0318 -2.2456 0.1583
1.8331 -3.0865 2.9046
-1.3067 2.5989 3.5863
As Be In
3 1 1
Cartesian
-2.0159 -1.1228 0.0792
0.9166 -1.5432 1.4523
-0.6533 1.2994 1.7932
0.0000 0.0000 0.0000
-1.7527 -1.3666 3.3246
```

Values from the calculation:
- calculated formation energy (eV/atom) = 0.44

Question: What is the formula in the first record?
Answer: KIr3